KMg2Tl | Alexandria | GGA-PBEsol | optimized geometry; space group = C2/m; calculated total energy = -1.650 eV per atom; density = 4.2 g/cm³; energy of formation = 149 meV per atom
1.0
3.191 0.044 0.000
-0.514 6.218 0.000
-1.339 -3.131 5.830
Tl Mg K
1 2 1
Direct
0.500 0.000 0.000
0.000 0.000 0.500
0.500 0.500 0.500
0.000 0.500 0.000